Material: BeRuS2
Method: DFT, GGA-PBE
State: optimized geometry

The structure in extended XYZ format:
```
4
Lattice="1.8499 1.0680 6.0435 -1.8499 1.0680 6.0435 0.0000 -2.1361 6.0435" Properties=species:S:1:pos:R:3 pbc="T T T"
Be 0.0000 0.0000 0.0000
Ru 0.0000 0.0000 9.0653
S 0.0000 0.0000 1.9158
S 0.0000 0.0000 16.2148
```

Calculated density ... 4.0 g/cm3
Magnetic moment ... 0.00 μB/f.u.
Formation energy (no corrections) ... -167 meV/atom
Space-group type ... R-3m (166)
DOS(E_F) ... 0.00 states/eV/f.u.


Material: TmPuGeRu
Method: DFT, GGA-PBE
State: optimized geometry

The structure in extended XYZ format:
```
4
Lattice="0.0000 3.4598 3.4598 3.4598 0.0000 3.4598 3.4598 3.4598 0.0000" Properties=species:S:1:pos:R:3 pbc="T T T"
Tm 0.0000 0.0000 0.0000
Pu 3.4598 3.4598 3.4598
Ge 5.1896 5.1896 5.1896
Ru 1.7299 1.7299 1.7299
```

Calculated density ... 11.8 g/cm3
Magnetic moment ... 4.80 μB/f.u.
Space-group type ... F-43m (216)
DOS(E_F) ... 7.34 states/eV/f.u.
DFT total energy ... -0.6236 Ry/atom


Material: LaPrScAg
Method: DFT, GGA-PBE
State: optimized geometry

The structure in extended XYZ format:
```
4
Lattice="0.0000 3.8601 3.8601 3.8601 0.0000 3.8601 3.8601 3.8601 0.0000" Properties=species:S:1:pos:R:3 pbc="T T T"
La 0.0000 0.0000 0.0000
Pr 3.8601 3.8601 3.8601
Sc 5.7901 5.7901 5.7901
Ag 1.9300 1.9300 1.9300
```

Calculated density ... 6.2 g/cm3
Magnetic moment ... 0.00 μB/f.u.
Space-group type ... F-43m (216)
DOS(E_F) ... 4.29 states/eV/f.u.
DFT total energy ... -0.3442 Ry/atom


Material: HfAl2Pd
Method: DFT, GGA-PBE
State: optimized geometry

The structure in extended XYZ format:
```
4
Lattice="3.0281 0.0000 0.0000 0.0000 3.0281 0.0000 0.0000 0.0000 7.2412" Properties=species:S:1:pos:R:3 pbc="T T T"
Hf 0.0000 0.0000 0.0000
Al 1.5141 1.5141 2.0465
Al 1.5141 1.5141 5.1948
Pd 0.0000 0.0000 3.6206
```

Calculated density ... 8.5 g/cm3
Magnetic moment ... 0.00 μB/f.u.
Space-group type ... P4/mmm (123)
DOS(E_F) ... 1.58 states/eV/f.u.
DFT total energy ... -0.4644 Ry/atom


Material: TlRu2RhPb
Method: DFT, GGA-PBE
State: optimized geometry

The structure in extended XYZ format:
```
5
Lattice="4.7937 0.0000 0.0000 0.0000 4.7937 0.0000 0.0000 0.0000 5.1399" Properties=species:S:1:pos:R:3 pbc="T T T"
Tl 0.0000 0.0000 0.0000
Ru 0.0000 2.3969 2.5700
Ru 2.3969 0.0000 2.5700
Rh 2.3969 2.3969 2.5700
Pb 2.3969 2.3969 0.0000
```

Calculated density ... 10.1 g/cm3
Magnetic moment ... 0.00 μB/f.u.
Space-group type ... P4/mmm (123)
DOS(E_F) ... 6.31 states/eV/f.u.
DFT total energy ... -0.3773 Ry/atom


Material: MnTlAu2
Method: DFT, GGA-PBE
State: optimized geometry

The structure in extended XYZ format:
```
4
Lattice="0.0000 3.3748 3.3748 3.3748 0.0000 3.3748 3.3748 3.3748 0.0000" Properties=species:S:1:pos:R:3 pbc="T T T"
Mn 0.0000 0.0000 0.0000
Tl 5.0622 5.0622 5.0622
Au 1.6874 1.6874 1.6874
Au 3.3748 3.3748 3.3748
```

Calculated density ... 14.1 g/cm3
Magnetic moment ... 4.28 μB/f.u.
Space-group type ... F-43m (216)
DOS(E_F) ... 1.20 states/eV/f.u.
Energy relative to the lowest polymorph listed for this composition ... 141 meV/atom


Material: CdGaBH2
Method: DFT, GGA-PBE
State: optimized geometry

The structure in extended XYZ format:
```
5
Lattice="3.6412 0.0000 0.0000 0.0000 3.6412 0.0000 0.0000 0.0000 4.5367" Properties=species:S:1:pos:R:3 pbc="T T T"
Cd 0.0000 0.0000 0.0000
Ga 1.8206 1.8206 0.0000
B 1.8206 1.8206 2.2684
H 0.0000 1.8206 2.2684
H 1.8206 0.0000 2.2684
```

Calculated density ... 5.4 g/cm3
Magnetic moment ... 0.00 μB/f.u.
Space-group type ... P4/mmm (123)
DOS(E_F) ... 1.14 states/eV/f.u.
DFT total energy ... -0.1930 Ry/atom


Material: Nb3AgH3
Method: DFT, GGA-PBE
State: optimized geometry

The structure in extended XYZ format:
```
14
Lattice="5.4618 0.0000 0.0000 0.0000 5.4618 0.0000 0.0000 0.0000 5.4618" Properties=species:S:1:pos:R:3 pbc="T T T"
Nb 0.0000 1.3655 2.7309
Nb 0.0000 4.0964 2.7309
Nb 1.3655 2.7309 0.0000
Nb 2.7309 0.0000 1.3655
Nb 2.7309 0.0000 4.0964
Nb 4.0964 2.7309 0.0000
Ag 0.0000 0.0000 0.0000
Ag 2.7309 2.7309 2.7309
H 0.0000 2.7309 1.3655
H 0.0000 2.7309 4.0964
H 1.3655 0.0000 2.7309
H 2.7309 1.3655 0.0000
H 2.7309 4.0964 0.0000
H 4.0964 0.0000 2.7309
```

Calculated density ... 7.9 g/cm3
Magnetic moment ... 0.00 μB/f.u.
Space-group type ... Pm-3n (223)
DOS(E_F) ... 4.48 states/eV/f.u.
DFT total energy ... -0.4576 Ry/atom


Material: La2TlB
Method: DFT, GGA-PBE
State: optimized geometry

The structure in extended XYZ format:
```
8
Lattice="-3.9294 3.9294 3.8145 3.9294 -3.9294 3.8145 3.9294 3.9294 -3.8145" Properties=species:S:1:pos:R:3 pbc="T T T"
La 5.8942 1.3774 -0.9536
La 1.3774 1.9647 0.9536
La -1.9647 2.5520 2.8609
La 2.5520 1.9647 4.7681
Tl 3.9294 0.0000 1.9072
Tl 0.0000 0.0000 3.8145
B 0.0000 0.0000 0.0000
B 0.0000 3.9294 1.9072
```

Calculated density ... 6.9 g/cm3
Magnetic moment ... 0.00 μB/f.u.
Space-group type ... I-42d (122)
DOS(E_F) ... 2.16 states/eV/f.u.
Energy relative to the lowest polymorph listed for this composition ... 0 meV/atom


Material: Al2ReSe
Method: DFT, GGA-PBE
State: optimized geometry

The structure in extended XYZ format:
```
4
Lattice="1.5433 0.8910 7.8588 -1.5433 0.8910 7.8588 0.0000 -1.7820 7.8588" Properties=species:S:1:pos:R:3 pbc="T T T"
Al 0.0000 0.0000 5.8380
Al 0.0000 0.0000 17.7385
Re 0.0000 0.0000 11.7882
Se 0.0000 0.0000 0.0000
```

Calculated density ... 8.2 g/cm3
Magnetic moment ... 0.00 μB/f.u.
Formation energy (no corrections) ... 3 meV/atom
Space-group type ... R-3m (166)
DOS(E_F) ... 2.38 states/eV/f.u.


Material: ScTePb
Method: DFT, GGA-PBE
State: optimized geometry

The structure in extended XYZ format:
```
6
Lattice="2.1783 1.2577 11.9955 -2.1783 1.2577 11.9955 0.0000 -2.5153 11.9955" Properties=species:S:1:pos:R:3 pbc="T T T"
Sc 0.0000 0.0000 2.7876
Sc 0.0000 0.0000 33.1990
Te 0.0000 0.0000 7.8467
Te 0.0000 0.0000 28.1399
Pb 0.0000 0.0000 12.8443
Pb 0.0000 0.0000 23.1423
```

Calculated density ... 6.4 g/cm3
Magnetic moment ... 0.00 μB/f.u.
Formation energy (no corrections) ... -518 meV/atom
Space-group type ... R-3m (166)
DOS(E_F) ... 1.35 states/eV/f.u.


Material: Sr5SnSb2
Method: DFT, GGA-PBE
State: optimized geometry

The structure in extended XYZ format:
```
8
Lattice="-3.8806 3.8806 4.7429 3.8806 -3.8806 4.7429 3.8806 3.8806 -4.7429" Properties=species:S:1:pos:R:3 pbc="T T T"
Sr 0.0000 0.0000 0.0000
Sr 2.0221 2.0221 2.1386
Sr 1.8585 -1.8585 6.8815
Sr -1.8585 1.8585 6.8815
Sr 1.8585 1.8585 6.8815
Sn 0.0000 0.0000 4.2666
Sb 3.8806 0.0000 4.5307
Sb 0.0000 3.8806 4.5307
```

Calculated density ... 4.7 g/cm3
Magnetic moment ... 0.00 μB/f.u.
Formation energy (no corrections) ... -513 meV/atom
Space-group type ... I4mm (107)
DOS(E_F) ... 4.11 states/eV/f.u.